1.
Computed, not measured: Li2BeMo after structural relaxation at the PBE level of DFT.

Properties
- Final energy: -4.154 eV per atom
- DFT formation energy: 443 meV/atom
- Space group: Imm2 (44)
- Excess energy over the best structure of this formula in the dataset: 240 meV/atom

POSCAR file:
```
Li2BeMo
1.0
5.3527 0.0024 0.0009
2.6896 4.6279 -0.0009
-3.2542 -3.6472 2.1816
Be Li Mo
1 2 1
Cartesian
1.6880 1.6248 1.0904
0.1411 0.0813 0.0000
3.1619 -0.6060 1.0913
3.8181 2.1983 0.0000
```

---

2.
Computed, not measured: Sr2MgGa3Pd4 after structural relaxation at the PBE level of DFT.

Properties
- Final energy: -4.194 eV per atom
- DFT formation energy: -713 meV/atom
- Space group: P-4m2 (115)

POSCAR file:
```
Sr2MgGa3Pd4
1.0
-3.5651 -0.0607 2.6149
-2.2426 -2.2043 -3.1086
3.2410 -9.2267 4.2046
Sr Mg Ga Pd
2 1 3 4
Cartesian
-1.0000 -2.2581 2.3227
1.3372 -8.1011 1.6351
-1.2833 -5.7458 1.8555
1.6205 -4.6133 2.1023
1.0640 -8.1341 5.0004
-0.7269 -2.2250 -1.0426
-2.9038 -1.1325 -0.2468
0.0000 0.0000 0.0000
0.2860 -5.9193 3.9911
0.0511 -4.4399 -0.0333
```

---

Q: Look up the final energy of the second one.
A: -4.194 eV per atom

---

Q: Which of these has the highest final energy?
A: Li2BeMo

---

Copy entry 1 word for word.
Computed, not measured: Li2BeMo after structural relaxation at the PBE level of DFT.

Properties
- Final energy: -4.154 eV per atom
- DFT formation energy: 443 meV/atom
- Space group: Imm2 (44)
- Excess energy over the best structure of this formula in the dataset: 240 meV/atom

POSCAR file:
```
Li2BeMo
1.0
5.3527 0.0024 0.0009
2.6896 4.6279 -0.0009
-3.2542 -3.6472 2.1816
Be Li Mo
1 2 1
Cartesian
1.6880 1.6248 1.0904
0.1411 0.0813 0.0000
3.1619 -0.6060 1.0913
3.8181 2.1983 0.0000
```